# 1
# Mg5Al7O16 | Alexandria | GGA-PBEsol | relaxed
data_Mg5Al7O16
_space_group_name_H-M_alt 'P 1 2/m 1'
_space_group_IT_number 10
_cell_length_a 5.774
_cell_length_b 5.749
_cell_length_c 8.181
_cell_angle_alpha 90.00
_cell_angle_beta 90.88
_cell_angle_gamma 90.00
loop_
_space_group_symop_operation_xyz
'x,y,z'
'-x,-y,-z'
'-x,y,-z'
'x,-y,z'
loop_
_atom_site_label
_atom_site_type_symbol
_atom_site_fract_x
_atom_site_fract_y
_atom_site_fract_z
_atom_site_occupancy
Mg1 Mg 0.000 0.000 0.000 1
Mg2 Mg 0.246 0.000 0.377 1
Mg3 Mg 0.248 0.500 0.126 1
Al1 Al 0.000 0.500 0.500 1
Al2 Al 0.257 0.250 0.748 1
Al3 Al 0.500 0.000 0.000 1
Al4 Al 0.500 0.500 0.500 1
O1 O 0.030 0.500 0.736 1
O2 O 0.042 0.000 0.750 1
O3 O 0.251 0.279 0.513 1
O4 O 0.267 0.233 0.979 1
O5 O 0.477 0.500 0.731 1
O6 O 0.482 0.000 0.762 1
# E_tot	-202.09	eV per cell



# 2
# Ca2AlSn2 | Alexandria | GGA-PBEsol | relaxed
data_Ca2AlSn2
_space_group_name_H-M_alt 'P 4/m b m'
_space_group_IT_number 127
_space_group_name_Hall '-P 4 2ab'
_cell_length_a 7.391
_cell_length_b 7.391
_cell_length_c 4.771
_cell_angle_alpha 90.00
_cell_angle_beta 90.00
_cell_angle_gamma 90.00
loop_
_atom_site_label
_atom_site_type_symbol
_atom_site_fract_x
_atom_site_fract_y
_atom_site_fract_z
_atom_site_occupancy
Ca1 Ca 0.170 0.330 0.000 1
Al1 Al 0.000 0.000 0.500 1
Sn1 Sn 0.138 0.638 0.500 1
# ΔE_f	-0.49	eV per atom



# 3
# Ba2AlZn | Alexandria | GGA-PBEsol | relaxed
data_Ba2AlZn
_space_group_name_H-M_alt 'R 3 m'
_space_group_IT_number 160
_space_group_name_Hall 'R 3 -2"'
_cell_length_a 4.4546
_cell_length_b 4.4546
_cell_length_c 26.7748
_cell_angle_alpha 90.00
_cell_angle_beta 90.00
_cell_angle_gamma 120.00
loop_
_atom_site_label
_atom_site_type_symbol
_atom_site_fract_x
_atom_site_fract_y
_atom_site_fract_z
_atom_site_occupancy
Ba1 Ba 0.0000 0.0000 0.0000 1
Ba2 Ba 0.0000 0.0000 0.1776 1
Al1 Al 0.0000 0.0000 0.7557 1
Zn1 Zn 0.0000 0.0000 0.4222 1
# ΔE_f	-0.13	eV per atom



# 4
# RbAlOs2Pd | Alexandria | GGA-PBEsol | relaxed
data_RbAlOs2Pd
_space_group_name_H-M_alt 'P 4/m m m'
_space_group_IT_number 123
_space_group_name_Hall '-P 4 2'
_cell_length_a 4.500
_cell_length_b 4.500
_cell_length_c 5.337
_cell_angle_alpha 90.00
_cell_angle_beta 90.00
_cell_angle_gamma 90.00
loop_
_atom_site_label
_atom_site_type_symbol
_atom_site_fract_x
_atom_site_fract_y
_atom_site_fract_z
_atom_site_occupancy
Rb1 Rb 0.000 0.000 0.000 1
Al1 Al 0.000 0.000 0.500 1
Os1 Os 0.000 0.500 0.500 1
Pd1 Pd 0.500 0.500 0.000 1
# ΔE_f	2.02	eV per atom



Number 1: mass density 3.5 g/cm3. Number 2: mass density 4.4 g/cm3. Number 3: mass density 4.0 g/cm3. Number 4: mass density 9.2 g/cm3.